No. 1
LaFe2Br: relaxed, PBE-GGA.

Values from the calculation:
- energy relative to the lowest polymorph listed for this composition (eV/atom) = 0.2129
- formation energy without anion corrections (eV per atom) = 0.103

Cell: 5.479 5.479 5.426 Å, 101.67 101.67 37.95°
Fractional coordinates of all 4 atoms:
La: 0.000 0.000 0.000
Fe: 0.293 0.293 0.129
Fe: 0.707 0.707 0.871
Br: 0.500 0.500 0.500

No. 2
IrPd4Pt15: relaxed, PBE-GGA.

Values from the calculation:
- formation enthalpy at 0 K (eV/atom) = -0.01

Cell: 3.954 3.954 19.929 Å, 90.00 90.00 90.00°
Fractional coordinates of all 20 atoms:
Ir: 0.000 0.000 0.000
Pd: 0.000 0.000 0.198
Pd: 0.000 0.000 0.400
Pd: 0.000 0.000 0.600
Pd: 0.000 0.000 0.802
Pt: 0.000 0.500 0.098
Pt: 0.000 0.500 0.299
Pt: 0.000 0.500 0.500
Pt: 0.000 0.500 0.701
Pt: 0.000 0.500 0.902
Pt: 0.500 0.000 0.098
Pt: 0.500 0.000 0.299
Pt: 0.500 0.000 0.500
Pt: 0.500 0.000 0.701
Pt: 0.500 0.000 0.902
Pt: 0.500 0.500 0.000
Pt: 0.500 0.500 0.200
Pt: 0.500 0.500 0.399
Pt: 0.500 0.500 0.601
Pt: 0.500 0.500 0.800

No. 3
K2YRe: relaxed, PBE-GGA.

Values from the calculation:
- energy relative to the lowest polymorph listed for this composition (eV/atom) = 0.4757
- formation enthalpy at 0 K (eV/atom) = 1.26

Cell: 7.094 7.094 7.094 Å, 144.25 144.25 51.45°
Fractional coordinates of all 4 atoms:
K: 0.250 0.750 0.500
K: 0.750 0.250 0.500
Y: 0.000 0.000 0.000
Re: 0.500 0.500 0.000

No. 4
Ba2LaReW: relaxed, PBE-GGA.

Values from the calculation:
- formation enthalpy at 0 K (eV/atom) = 1.29

Cell: 6.094 6.094 4.791 Å, 90.00 90.00 90.00°
Fractional coordinates of all 5 atoms:
Ba: 0.000 0.500 0.000
Ba: 0.500 0.000 0.000
La: 0.000 0.000 0.500
Re: 0.500 0.500 0.500
W: 0.500 0.500 0.000